Density functional theory data (PBE-GGA) for crystalline La4CeTm3S8 at its relaxed geometry.

a b c (Å): 7.9921 7.9921 19.9486
angles (deg): 90.00 90.00 120.00
Space group R-3m (No. 166, hexagonal axes)
Inequivalent atoms, fractional coordinates:
La 0.0000 0.0000 0.0000
La 0.0000 0.5000 0.0000
Ce 0.0000 0.0000 0.5000
Tm 0.0000 0.5000 0.5000
S 0.0000 0.0000 0.2412
S 0.0075 0.5037 0.7572

Computed properties:
As for the spin magnetization: 0.0204 μB per atom. For the energy, the calculation gives -6.57 eV per atom. The value obtained for the calculated volume is 23.0 Å³ per atom. For the formation energy from raw total energies, the calculation gives -2.0658 eV/atom.

Density functional theory data (PBE-GGA) for crystalline Pr3YHg6 at its relaxed geometry.

a b c (Å): 9.515 5.236 11.332
angles (deg): 90.00 106.11 90.00
Space group P2_1/m (No. 11)
Inequivalent atoms, fractional coordinates:
Pr 0.010 0.250 0.386
Pr 0.147 0.750 0.213
Pr 0.275 0.250 0.991
Y 0.441 0.250 0.605
Hg 0.037 0.750 0.915
Hg 0.167 0.250 0.700
Hg 0.269 0.750 0.502
Hg 0.352 0.250 0.312
Hg 0.358 0.750 0.811
Hg 0.440 0.750 0.114

Computed properties:
As for the spin magnetization: 0.0023 μB per atom. For the energy, the calculation gives -2.70 eV per atom. The value obtained for the calculated volume is 27.1 Å³ per atom. As for the formation energy: -0.435 eV per atom.

Density functional theory data (PBE-GGA) for crystalline YBeRhCl2 at its relaxed geometry.

a b c (Å): 4.291 4.291 4.937
angles (deg): 90.00 90.00 90.00
Space group P4/mmm (No. 123)
Inequivalent atoms, fractional coordinates:
Y 0.000 0.000 0.000
Be 0.500 0.500 0.500
Rh 0.500 0.500 0.000
Cl 0.000 0.500 0.500

Computed properties:
As for the spin magnetization: 0.0000 μB per atom. For the energy, the calculation gives -4.68 eV per atom. The value obtained for the calculated volume is 18.2 Å³ per atom. For the formation energy from raw total energies, the calculation gives -0.4284 eV/atom.

Density functional theory data (PBE-GGA) for crystalline CdB2N2 at its relaxed geometry.

a b c (Å): 3.520 3.520 6.880
angles (deg): 90.00 90.00 90.00
Space group I4/mmm (No. 139)
Inequivalent atoms, fractional coordinates:
Cd 0.000 0.000 0.000
B 0.000 0.000 0.358
N 0.000 0.500 0.250

Computed properties:
As for the spin magnetization: 0.0000 μB per atom. For the energy, the calculation gives -5.02 eV per atom. The value obtained for the calculated volume is 8.5 Å³ per atom. For the formation energy from raw total energies, the calculation gives 1.1651 eV/atom. The value obtained for the energy above the most stable polymorph in this dataset is 0.00 eV/f.u.

Density functional theory data (PBE-GGA) for crystalline Y5Tm3S8 at its relaxed geometry.

a b c (Å): 7.7764 7.7764 19.0911
angles (deg): 90.00 90.00 120.00
Space group R-3m (No. 166, hexagonal axes)
Inequivalent atoms, fractional coordinates:
Y 0.0000 0.0000 0.0000
Y 0.0000 0.0000 0.5000
Y 0.0000 0.5000 0.0000
Tm 0.0000 0.5000 0.5000
S 0.0000 0.0000 0.2473
S 0.0036 0.5018 0.7518

Computed properties:
As for the spin magnetization: 0.0000 μB per atom. For the energy, the calculation gives -6.89 eV per atom. The value obtained for the calculated volume is 20.8 Å³ per atom. For the formation energy from raw total energies, the calculation gives -1.9674 eV/atom.

Density functional theory data (PBE-GGA) for crystalline ScCu2Si at its relaxed geometry.

a b c (Å): 3.236 3.408 5.536
angles (deg): 90.00 90.00 90.00
Space group Pmmm (No. 47)
Inequivalent atoms, fractional coordinates:
Sc 0.000 0.000 0.000
Cu 0.500 0.500 0.267
Si 0.000 0.000 0.500

Computed properties:
As for the spin magnetization: 0.0000 μB per atom. For the energy, the calculation gives -5.12 eV per atom. The value obtained for the calculated volume is 15.3 Å³ per atom. For the formation energy from raw total energies, the calculation gives -0.1306 eV/atom.